Entry 1:
First-principles (PBE-GGA) data for a geometry-optimized Rb2ZnH2F6 structure, as listed in Alexandria.

Geometry as extended XYZ:
```
11
Lattice="5.369 0.000 0.000 2.684 4.649 0.000 2.684 1.550 5.877" Properties=species:S:1:pos:R:3 pbc="T T T"
F 5.369 1.707 1.211
F 4.163 3.796 1.211
F 6.574 2.403 4.667
F 5.369 4.492 4.667
F 4.163 2.403 4.667
F 6.574 3.796 1.211
H 5.369 3.100 1.172
H 5.369 3.100 4.705
Zn 0.000 0.000 0.000
Rb 8.053 4.649 3.886
Rb 2.684 1.550 1.991
```

Calculated total energy in eV/atom: -4.001



Entry 2:
First-principles (PBE-GGA) data for a geometry-optimized TcAgCl structure, as listed in Alexandria.

Geometry as extended XYZ:
```
3
Lattice="-6.973 0.855 -2.798 -7.222 -0.621 -0.201 -0.552 2.942 -0.153" Properties=species:S:1:pos:R:3 pbc="T T T"
Tc -4.939 2.071 -1.068
Cl -9.958 1.075 -2.115
Ag -14.046 0.264 -2.968
```

Formation energy without anion corrections in eV/atom: 0.442
Calculated total energy in eV/atom: -4.580



Entry 3:
First-principles (PBE-GGA) data for a geometry-optimized LiNpCdO5 structure, as listed in Alexandria.

Geometry as extended XYZ:
```
16
Lattice="6.047 -0.339 -0.242 -2.089 5.685 -0.242 -1.943 -2.624 7.456" Properties=species:S:1:pos:R:3 pbc="T T T"
Np -0.971 -1.312 3.728
Np 0.000 0.000 0.000
O -1.284 3.741 4.369
O -0.644 0.477 4.134
O 3.992 -1.864 5.349
O 4.924 1.176 0.641
O 1.616 0.836 0.406
O 0.400 1.886 6.564
O 3.300 -1.019 2.601
O -1.976 4.586 1.621
O -2.909 1.546 6.329
O 2.659 2.245 2.837
Cd 2.168 -0.513 5.349
Cd -0.152 3.236 1.621
Li 3.219 0.739 1.621
Li -1.204 1.983 5.349
```

Formation energy without anion corrections in eV/atom: -2.065
Calculated total energy in eV/atom: -7.135



Entry 4:
First-principles (PBE-GGA) data for a geometry-optimized TbThCu10 structure, as listed in Alexandria.

Geometry as extended XYZ:
```
12
Lattice="4.109 0.000 0.000 0.000 5.115 0.000 0.000 0.000 8.757" Properties=species:S:1:pos:R:3 pbc="T T T"
Cu 2.055 1.280 6.575
Cu 2.055 1.280 2.182
Cu 0.000 0.000 5.876
Cu 2.055 3.835 2.182
Cu 0.000 0.000 2.882
Cu 0.000 2.558 7.334
Cu 2.055 0.000 4.379
Cu 2.055 2.558 0.000
Cu 2.055 3.835 6.575
Cu 0.000 2.558 1.423
Tb 0.000 0.000 0.000
Th 0.000 2.558 4.379
```

Calculated total energy in eV/atom: -4.582
Formation energy in kJ/mol of atoms: -15.8



Entry 5:
First-principles (PBE-GGA) data for a geometry-optimized SrPdSe structure, as listed in Alexandria.

Geometry as extended XYZ:
```
6
Lattice="-0.916 -0.167 -4.468 3.814 -7.197 2.546 -3.831 -2.479 0.021" Properties=species:S:1:pos:R:3 pbc="T T T"
Se 1.770 -7.937 2.108
Se 0.846 -2.948 0.270
Pd 0.883 -7.302 -0.065
Pd -0.619 -4.886 0.203
Sr -3.127 -3.276 -2.097
Sr 1.562 -4.956 -2.155
```

Formation energy without anion corrections in eV/atom: -1.136
Calculated total energy in eV/atom: -4.589



Entry 6:
First-principles (PBE-GGA) data for a geometry-optimized HfNi2BRu structure, as listed in Alexandria.

Geometry as extended XYZ:
```
5
Lattice="3.930 0.000 0.000 0.000 3.930 0.000 0.000 0.000 4.100" Properties=species:S:1:pos:R:3 pbc="T T T"
Hf 1.965 1.965 2.050
Ru 0.000 0.000 2.050
Ni 1.965 0.000 0.000
Ni 0.000 1.965 0.000
B 0.000 0.000 0.000
```

Calculated total energy in eV/atom: -7.951
Formation energy in kJ/mol of atoms: -44.1